Entry 1:
A plane-wave DFT calculation with meta-GGA SCAN was carried out for CaHg2W at its PBEsol-relaxed geometry.

Results
Space-group type: No. 44
Excess energy over the best structure of this formula in the dataset (eV/atom): 0.0000
Total magnetization (μB/cell): 0.00
Energy of formation from the pure elements (eV/atom): 0.55

Cell: 3.0794 5.0952 5.9862 Å, 115.19 104.90 90.00°
Closest atoms and distances in Å follow each position.
Fractional coordinates of all 4 atoms:
Ca 0.2472 0.7472 0.4944  6 Hg 2.98-3.12, 2 Ca 3.08, 2 W 3.11
Hg 0.0089 0.0089 0.0177  4 W 2.99, 4 Hg 3.00-3.08, 2 Ca 3.12
Hg 0.7572 0.2572 0.5143  2 W 2.84, 4 Ca 2.98, 4 Hg 3.00-3.08
W 0.4868 0.4868 0.9736  6 Hg 2.84-2.99, 2 W 3.08, 2 Ca 3.11


Entry 2:
A plane-wave DFT calculation with meta-GGA SCAN was carried out for CaHgW at its PBEsol-relaxed geometry.

Results
Space-group type: No. 44
Total magnetization (μB/cell): 0.00
Energy of formation from the pure elements (eV/atom): 0.80

Cell: 2.9846 3.7991 6.1304 Å, 108.05 104.09 90.00°
Closest atoms and distances in Å follow each position.
Fractional coordinates of all 3 atoms:
Ca 0.9996 0.9996 0.9993  2 Ca 2.98, 4 W 3.20, 4 Hg 3.21
Hg 0.6869 0.6869 0.3738  4 W 2.81, 2 Hg 2.98
W 0.3135 0.3135 0.6269  4 Hg 2.81, 2 W 2.98


Entry 3:
A plane-wave DFT calculation with meta-GGA SCAN was carried out for CaY2Hg at its PBEsol-relaxed geometry.

Results
Space-group type: No. 71
Total magnetization (μB/cell): 0.00
Energy of formation from the pure elements (eV/atom): -0.36

Cell: 3.6985 5.3986 6.6715 Å, 113.87 106.09 90.00°
Closest atoms and distances in Å follow each position.
Fractional coordinates of all 4 atoms:
Y 0.7111 0.7111 0.4222  2 Hg 3.07, 4 Y 3.39
Y 0.2889 0.2889 0.5778  2 Hg 3.07, 4 Y 3.39
Ca 0.5000 0.0000 0.0000  4 Hg 3.27, 4 Y 3.65
Hg 0.0000 0.5000 0.0000  4 Y 3.07, 4 Ca 3.27


Entry 4:
A plane-wave DFT calculation with meta-GGA SCAN was carried out for CaY2Hg at its PBEsol-relaxed geometry.

Results
Space-group type: No. 99
Total magnetization (μB/cell): 1.41
Energy of formation from the pure elements (eV/atom): -0.34

Cell: 3.5714 3.5714 9.1475 Å, 90.00 90.00 90.00°
Closest atoms and distances in Å follow each position.
Fractional coordinates of all 4 atoms:
Y 0.5000 0.5000 0.9656  4 Hg 3.14, 4 Y 3.50
Y 0.0000 0.0000 0.2299  8 Y 3.50-3.57, 4 Ca 3.82
Ca 0.5000 0.5000 0.5431  4 Hg 3.22, 4 Ca 3.57
Hg 0.0000 0.0000 0.7615  4 Y 3.14, 4 Ca 3.22


Entry 5:
A plane-wave DFT calculation with meta-GGA SCAN was carried out for CaY2Hg2 at its PBEsol-relaxed geometry.

Results
Space-group type: No. 139
Excess energy over the best structure of this formula in the dataset (eV/atom): 0.2366
Total magnetization (μB/cell): 0.03
Energy of formation from the pure elements (eV/atom): -0.41

Cell: 4.5995 4.5995 7.5299 Å, 107.78 107.78 90.00°
Closest atoms and distances in Å follow each position.
Fractional coordinates of all 5 atoms:
Y 0.2500 0.7500 0.5000  4 Hg 3.06, 4 Y 3.25
Y 0.7500 0.2500 0.5000  4 Hg 3.06, 4 Y 3.25
Ca 0.0000 0.0000 0.0000  8 Hg 3.53
Hg 0.3987 0.3987 0.7975  1 Hg 2.75, 4 Y 3.06
Hg 0.6013 0.6013 0.2025  1 Hg 2.75, 4 Y 3.06


Entry 6:
A plane-wave DFT calculation with meta-GGA SCAN was carried out for CaY2Hg2 at its PBEsol-relaxed geometry.

Results
Space-group type: No. 127
Excess energy over the best structure of this formula in the dataset (eV/atom): 0.0000
Total magnetization (μB/cell): 0.00
Energy of formation from the pure elements (eV/atom): -0.65

Cell: 3.7780 8.4273 8.4273 Å, 90.00 90.00 90.00°
Closest atoms and distances in Å follow each position.
Fractional coordinates of all 10 atoms:
Y 0.5000 0.1624 0.6624  6 Hg 3.07-3.14
Y 0.5000 0.6624 0.8376  6 Hg 3.07-3.14
Y 0.5000 0.8376 0.3376  6 Hg 3.07-3.14
Y 0.5000 0.3376 0.1624  6 Hg 3.07-3.14
Ca 0.0000 0.0000 0.0000  4 Hg 3.28
Ca 0.0000 0.5000 0.5000  4 Hg 3.28
Hg 0.0000 0.3656 0.8656  6 Y 3.07-3.14, 1 Hg 3.20, 2 Ca 3.28
Hg 0.0000 0.8656 0.6344  6 Y 3.07-3.14, 1 Hg 3.20, 2 Ca 3.28
Hg 0.0000 0.6344 0.1344  6 Y 3.07-3.14, 1 Hg 3.20, 2 Ca 3.28
Hg 0.0000 0.1344 0.3656  6 Y 3.07-3.14, 1 Hg 3.20, 2 Ca 3.28


Entry 7:
A plane-wave DFT calculation with meta-GGA SCAN was carried out for CaZnHg at its PBEsol-relaxed geometry.

Results
Space-group type: No. 187
Total magnetization (μB/cell): 0.00
Energy of formation from the pure elements (eV/atom): -0.53

Cell: 3.5642 4.6546 4.6546 Å, 120.00 90.00 90.00°
Closest atoms and distances in Å follow each position.
Fractional coordinates of all 3 atoms:
Zn 0.0000 0.6667 0.3333  3 Hg 2.69
Ca 0.5000 0.0000 0.0000  6 Hg 3.22, 6 Zn 3.22, 2 Ca 3.56
Hg 0.0000 0.3333 0.6667  3 Zn 2.69


Entry 8:
A plane-wave DFT calculation with meta-GGA SCAN was carried out for CaZn3Hg at its PBEsol-relaxed geometry.

Results
Space-group type: No. 221
Excess energy over the best structure of this formula in the dataset (eV/atom): 0.6310
Total magnetization (μB/cell): 0.00
Energy of formation from the pure elements (eV/atom): 0.79

Cell: 5.6192 5.6192 5.6192 Å, 90.00 90.00 90.00°
Closest atoms and distances in Å follow each position.
Fractional coordinates of all 5 atoms:
Zn 0.0000 0.5000 0.0000  2 Ca 2.81
Zn 0.0000 0.0000 0.5000  2 Ca 2.81
Zn 0.5000 0.0000 0.0000  2 Ca 2.81
Ca 0.0000 0.0000 0.0000  6 Zn 2.81
Hg 0.5000 0.5000 0.5000  12 Zn 3.97